# 1
Below is crystalline TbNd6Er2 at its relaxed geometry, with properties calculated at the PBE level.

```
TbNd6Er2
1.0
-3.546 -4.507 0.383
9.783 -3.512 6.153
3.419 1.944 11.421
Tb Nd Er
2 12 4
direct
0.250 0.251 0.749
0.750 0.749 0.251
0.831 0.500 0.669
0.669 0.331 0.500
0.169 0.500 0.331
0.331 0.669 0.500
0.919 0.919 0.420
0.581 0.580 0.081
0.081 0.081 0.580
0.419 0.420 0.919
0.161 0.834 0.997
0.339 0.003 0.166
0.839 0.166 0.003
0.661 0.997 0.834
0.004 0.667 0.833
0.496 0.167 0.333
0.996 0.333 0.167
0.504 0.833 0.667
```

- E_form: 0.06 eV per atom
- Excess energy over the best structure of this formula in the dataset: 0.0 meV/atom
- Total magnetization: 0.00 μB per atom
- Raw total energy: -4.6502 eV per atom
- Fermi-level density of states: 25.5 states/eV per cell

# 2
Below is crystalline TbNd3Er6 at its relaxed geometry, with properties calculated at the PBE level.

```
TbNd3Er6
1.0
-6.298 1.071 1.219
-2.362 -8.273 -4.268
4.166 -1.042 4.939
Tb Nd Er
1 3 6
direct
0.500 0.500 0.000
0.854 0.309 0.866
0.146 0.691 0.134
0.000 0.000 0.000
0.437 0.314 0.302
0.993 0.686 0.551
0.563 0.686 0.698
0.007 0.314 0.449
0.345 0.050 0.702
0.655 0.950 0.298
```

- E_form: 0.17 eV per atom
- Excess energy over the best structure of this formula in the dataset: 16.3 meV/atom
- Total magnetization: 0.00 μB per atom
- Raw total energy: -4.4647 eV per atom
- Fermi-level density of states: 12.1 states/eV per cell

# 3
Below is crystalline Tb3NdEr2 at its relaxed geometry, with properties calculated at the PBE level.

```
Tb3NdEr2
1.0
6.934 -1.163 -1.445
-4.087 9.330 -0.411
-2.163 0.721 6.799
Tb Nd Er
6 2 4
direct
0.251 0.001 0.751
0.749 0.999 0.249
0.803 0.664 0.861
0.196 0.335 0.639
0.804 0.665 0.361
0.197 0.336 0.139
0.252 0.001 0.251
0.748 0.999 0.749
0.302 0.664 0.360
0.303 0.665 0.860
0.697 0.335 0.140
0.698 0.336 0.640
```

- E_form: 0.00 eV per atom
- Excess energy over the best structure of this formula in the dataset: 0.0 meV/atom
- Total magnetization: 0.00 μB per atom
- Raw total energy: -4.6346 eV per atom
- Fermi-level density of states: 15.0 states/eV per cell

# 4
Below is crystalline Tb3Nd3Er5 at its relaxed geometry, with properties calculated at the PBE level.

```
Tb3Nd3Er5
1.0
5.474 0.000 0.000
0.000 9.625 0.000
0.000 -4.813 8.336
Tb Nd Er
3 3 5
direct
0.000 0.451 0.451
0.000 0.549 0.000
0.000 0.000 0.549
0.500 0.633 0.633
0.500 0.000 0.367
0.500 0.367 0.000
0.500 0.333 0.667
0.500 0.667 0.333
0.500 0.267 0.267
0.500 0.000 0.733
0.500 0.733 0.000
```

- E_form: 0.81 eV per atom
- Total magnetization: 0.00 μB per atom
- Raw total energy: -3.8302 eV per atom
- Fermi-level density of states: 17.0 states/eV per cell